Computed, not measured: a geometry-optimized LiMgBi structure at the GGA-PBE level of DFT.

Magnetization = 0.00 μB per cell
ΔE_f = -212 meV per atom
DOS at the Fermi energy = 1.24 states/eV/f.u.

a = 4.7410 Å, b = 4.7410 Å, c = 3.7708 Å
α = 90.00°, β = 90.00°, γ = 120.00°
Space group P3m1 (No. 156)
One atom of each set of equivalent atoms:
Li  0.0000  0.0000  0.0000 [1 per cell]
Mg  0.3333  0.6667  0.5381 [1 per cell]
Bi  0.6667  0.3333  0.1040 [1 per cell]

***

Computed, not measured: a geometry-optimized BaPuSe4 structure at the GGA-PBE level of DFT.

Magnetization = 4.02 μB per cell
DOS at the Fermi energy = 10.81 states/eV/f.u.
E_tot = -37.001 eV/f.u.

a = 4.717 Å, b = 4.717 Å, c = 8.179 Å
α = 90.00°, β = 90.00°, γ = 90.00°
Space group P4/mmm (No. 123)
One atom of each set of equivalent atoms:
Ba  0.000  0.000  0.000 [1 per cell]
Pu  0.500  0.500  0.500 [1 per cell]
Se  0.000  0.500  0.287 [4 per cell]

***

Computed, not measured: a geometry-optimized AcTbDyPu structure at the GGA-PBE level of DFT.

Magnetization = 26.11 μB per cell
ΔE_f = 258 meV per atom
DOS at the Fermi energy = 14.87 states/eV/f.u.

a = 8.184 Å, b = 8.184 Å, c = 8.184 Å
α = 90.00°, β = 90.00°, γ = 90.00°
Space group F-43m (No. 216)
One atom of each set of equivalent atoms:
Ac  0.000  0.000  0.000 [4 per cell]
Tb  0.250  0.250  0.750 [4 per cell]
Dy  0.250  0.250  0.250 [4 per cell]
Pu  0.000  0.000  0.500 [4 per cell]